# PBE Hf2CdPb2, optimized geometry
data_Hf2CdPb2
_chemical_formula_sum 'Hf2 Cd1 Pb2'
_space_group_name_H-M_alt 'P 1'
_space_group_IT_number 1
_cell_length_a 7.756
_cell_length_b 7.756
_cell_length_c 7.756
_cell_angle_alpha 147.80
_cell_angle_beta 147.80
_cell_angle_gamma 46.18
loop_
_space_group_symop_operation_xyz
'x,y,z'
loop_
_atom_site_label
_atom_site_type_symbol
_atom_site_fract_x
_atom_site_fract_y
_atom_site_fract_z
Cd1 Cd 0.000 0.000 0.000
Hf1 Hf 0.404 0.404 0.000
Hf2 Hf 0.596 0.596 0.000
Pb1 Pb 0.750 0.250 0.500
Pb2 Pb 0.250 0.750 0.500
# **E_tot**: -5.178 eV per atom
# **Crystal system**: tetragonal
# **Symmetry**: I4/mmm
# **Polymorph energy (0 for the lowest one)**: 0.0 meV/atom

---

# PBE KBaLuTe3, optimized geometry
data_KBaLuTe3
_chemical_formula_sum 'K2 Ba2 Lu2 Te6'
_space_group_name_H-M_alt 'P 1'
_space_group_IT_number 1
_cell_length_a 9.156
_cell_length_b 4.777
_cell_length_c 10.664
_cell_angle_alpha 90.00
_cell_angle_beta 109.23
_cell_angle_gamma 90.00
loop_
_space_group_symop_operation_xyz
'x,y,z'
loop_
_atom_site_label
_atom_site_type_symbol
_atom_site_fract_x
_atom_site_fract_y
_atom_site_fract_z
Ba1 Ba 0.759 0.250 0.263
Ba2 Ba 0.241 0.750 0.737
K1 K 0.406 0.750 0.421
K2 K 0.594 0.250 0.579
Lu1 Lu 0.181 0.250 0.147
Lu2 Lu 0.819 0.750 0.853
Te1 Te 0.397 0.750 0.120
Te2 Te 0.963 0.750 0.146
Te3 Te 0.187 0.250 0.457
Te4 Te 0.813 0.750 0.543
Te5 Te 0.037 0.250 0.854
Te6 Te 0.603 0.250 0.880
# **E_tot**: -4.056 eV per atom
# **Crystal system**: monoclinic
# **Symmetry**: P2_1/m

---

# PBE GdEr2TmIn2, optimized geometry
data_GdEr2TmIn2
_chemical_formula_sum 'Gd1 Er2 Tm1 In2'
_space_group_name_H-M_alt 'P 1'
_space_group_IT_number 1
_cell_length_a 5.361
_cell_length_b 5.361
_cell_length_c 6.692
_cell_angle_alpha 90.00
_cell_angle_beta 90.00
_cell_angle_gamma 120.00
loop_
_space_group_symop_operation_xyz
'x,y,z'
loop_
_atom_site_label
_atom_site_type_symbol
_atom_site_fract_x
_atom_site_fract_y
_atom_site_fract_z
Er1 Er 0.333 0.667 0.254
Er2 Er 0.333 0.667 0.746
Gd1 Gd 0.000 0.000 0.000
In1 In 0.667 0.333 0.000
In2 In 0.000 0.000 0.500
Tm1 Tm 0.667 0.333 0.500
# **E_tot**: -4.302 eV per atom
# **Crystal system**: hexagonal
# **Symmetry**: P-6m2

---

# PBE HoErGa2Cu4, optimized geometry
data_HoErGa2Cu4
_chemical_formula_sum 'Ho1 Er1 Ga2 Cu4'
_space_group_name_H-M_alt 'P 1'
_space_group_IT_number 1
_cell_length_a 4.258
_cell_length_b 4.258
_cell_length_c 8.605
_cell_angle_alpha 90.00
_cell_angle_beta 90.00
_cell_angle_gamma 120.00
loop_
_space_group_symop_operation_xyz
'x,y,z'
loop_
_atom_site_label
_atom_site_type_symbol
_atom_site_fract_x
_atom_site_fract_y
_atom_site_fract_z
Cu1 Cu 0.333 0.667 0.168
Cu2 Cu 0.000 0.000 0.329
Cu3 Cu 0.000 0.000 0.671
Cu4 Cu 0.333 0.667 0.832
Er1 Er 0.000 0.000 0.000
Ga1 Ga 0.667 0.333 0.249
Ga2 Ga 0.667 0.333 0.751
Ho1 Ho 0.333 0.667 0.500
# **E_tot**: -4.133 eV per atom
# **Crystal system**: hexagonal
# **Symmetry**: P-6m2